Entry 1:
Gd2ThO: optimized geometry, PBE.

energy above the most stable polymorph in this dataset: 0 meV/atom
energy relative to the elements, uncorrected: -1.33 eV/atom
M_tot: 14.03 μB/f.u.

a b c (Å): 3.5473 3.5473 26.2634
angles (deg): 90.00 90.00 120.00
Space group R-3m (No. 166, hexagonal axes)
Unique sites:
1 Gd 0.0000 0.0000 0.2209
2 Th 0.0000 0.0000 0.0000
3 O 0.0000 0.0000 0.5000



Entry 2:
Gd3ThO: optimized geometry, PBE.

energy relative to the elements, uncorrected: -1.03 eV/atom
M_tot: 21.29 μB/f.u.

a b c (Å): 5.0053 5.0053 5.0053
angles (deg): 90.00 90.00 90.00
Space group Pm-3m (No. 221)
Unique sites:
1 Gd 0.0000 0.0000 0.5000
2 Th 0.5000 0.5000 0.5000
3 O 0.0000 0.0000 0.0000



Entry 3:
GdTh2O: optimized geometry, PBE.

energy relative to the elements, uncorrected: -0.96 eV/atom
M_tot: 7.79 μB/f.u.

a b c (Å): 3.5209 3.5209 29.4686
angles (deg): 90.00 90.00 120.00
Space group R-3m (No. 166, hexagonal axes)
Unique sites:
1 Gd 0.0000 0.0000 0.0000
2 Th 0.0000 0.0000 0.1148
3 O 0.0000 0.0000 0.5000



Entry 4:
GdTiO2: optimized geometry, PBE.

energy relative to the elements, uncorrected: -2.61 eV/atom
M_tot: 6.03 μB/f.u.

a b c (Å): 3.6457 3.6457 17.5491
angles (deg): 90.00 90.00 120.00
Space group R-3m (No. 166, hexagonal axes)
Unique sites:
1 Gd 0.0000 0.0000 0.0000
2 Ti 0.0000 0.0000 0.5000
3 O 0.0000 0.0000 0.3916



Entry 5:
GdTiO3: optimized geometry, PBE.

energy relative to the elements, uncorrected: -3.20 eV/atom
M_tot: 5.99 μB/f.u.

a b c (Å): 5.7004 7.7498 5.4150
angles (deg): 90.00 90.00 90.00
Space group Pnma (No. 62)
Unique sites:
1 Gd 0.0677 0.2500 0.0182
2 Ti 0.0000 0.0000 0.5000
3 O 0.0326 0.7500 0.3948
4 O 0.2010 0.5528 0.8043



Entry 6:
Gd3TmO: optimized geometry, PBE.

energy relative to the elements, uncorrected: -1.09 eV/atom
M_tot: 21.94 μB/f.u.

a b c (Å): 4.9769 4.9769 4.9769
angles (deg): 90.00 90.00 90.00
Space group Pm-3m (No. 221)
Unique sites:
1 Gd 0.0000 0.0000 0.5000
2 Tm 0.5000 0.5000 0.5000
3 O 0.0000 0.0000 0.0000



Entry 7:
Gd2TmO: optimized geometry, PBE.

energy above the most stable polymorph in this dataset: 428 meV/atom
energy relative to the elements, uncorrected: -0.87 eV/atom
M_tot: 15.33 μB/f.u.

a b c (Å): 3.2159 3.2159 8.7687
angles (deg): 90.00 90.00 90.00
Space group P4/mmm (No. 123)
Unique sites:
1 Gd 0.0000 0.0000 0.1745
2 Tm 0.5000 0.5000 0.5000
3 O 0.5000 0.5000 0.0000



Entry 8:
GdTmO2: optimized geometry, PBE.

energy relative to the elements, uncorrected: -2.91 eV/atom
M_tot: 7.15 μB/f.u.

a b c (Å): 3.5500 3.5500 19.6313
angles (deg): 90.00 90.00 120.00
Space group R-3m (No. 166, hexagonal axes)
Unique sites:
1 Gd 0.0000 0.0000 0.0000
2 Tm 0.0000 0.0000 0.5000
3 O 0.0000 0.0000 0.1142



Entry 9:
GdTm3O: optimized geometry, PBE.

energy relative to the elements, uncorrected: -1.07 eV/atom
M_tot: 7.79 μB/f.u.

a b c (Å): 4.8773 4.8773 4.8773
angles (deg): 90.00 90.00 90.00
Space group Pm-3m (No. 221)
Unique sites:
1 Gd 0.0000 0.0000 0.0000
2 Tm 0.0000 0.5000 0.5000
3 O 0.5000 0.5000 0.5000



Entry 10:
GdTmO: optimized geometry, PBE.

energy relative to the elements, uncorrected: -1.81 eV/atom
M_tot: 7.05 μB/f.u.

a b c (Å): 3.4779 3.4779 5.8392
angles (deg): 90.00 90.00 120.00
Space group P3m1 (No. 156)
Unique sites:
1 Gd 0.0000 0.0000 0.0000
2 Tm 0.6667 0.3333 0.5250
3 O 0.3333 0.6667 0.7425



Entry 11:
Gd2TmO: optimized geometry, PBE.

energy above the most stable polymorph in this dataset: 0 meV/atom
energy relative to the elements, uncorrected: -1.30 eV/atom
M_tot: 14.70 μB/f.u.

a b c (Å): 3.5650 3.5650 26.1514
angles (deg): 90.00 90.00 120.00
Space group R-3m (No. 166, hexagonal axes)
Unique sites:
1 Gd 0.0000 0.0000 0.2197
2 Tm 0.0000 0.0000 0.0000
3 O 0.0000 0.0000 0.5000